# 1
K2NaMoSe4: optimized geometry, PBE.

Output
The uncorrected formation energy comes out at -811 meV per atom. The density comes out at 3.1 g cm⁻³. Its space group is I-4, No. 82. For the calculated volume, the calculation gives 33.84 A^3/atom.

Unit cell a=7.0625 b=7.0625 c=7.0625 alpha=110.90 beta=110.90 gamma=106.65
Positions (direct):
K (0.0000, 0.0000, 0.0000)
K (0.7500, 0.2500, 0.5000)
Na (0.5000, 0.5000, 0.0000)
Mo (0.2500, 0.7500, 0.5000)
Se (0.2515, 0.7178, 0.1532)
Se (0.2822, 0.4353, 0.5337)
Se (0.5647, 0.0984, 0.8468)
Se (0.9016, 0.7485, 0.4663)

***

# 2
Na3In2Sn2: optimized geometry, PBE.

Output
The density comes out at 4.5 g cm⁻³. The uncorrected energy comes out at -17.79 eV per cell. Its space group is P2/m, No. 10. For the calculated volume, the calculation gives 28.57 A^3/atom.

Unit cell a=5.6388 b=3.2478 c=11.0043 alpha=90.00 beta=97.04 gamma=90.00
Positions (direct):
Na (0.0000, 0.0000, 0.0000)
Na (0.2720, 0.0000, 0.5868)
Na (0.7280, 0.0000, 0.4132)
In (0.1878, 0.0000, 0.2817)
In (0.8122, 0.0000, 0.7183)
Sn (0.4259, 0.5000, 0.8575)
Sn (0.5741, 0.5000, 0.1425)

***

# 3
NaVCuTe3: optimized geometry, PBE.

Output
The uncorrected formation energy comes out at -406 meV per atom. The density comes out at 5.6 g cm⁻³. Its space group is P2_1/m, No. 11. For the calculated volume, the calculation gives 25.49 A^3/atom.

Unit cell a=8.3190 b=3.8831 c=10.1063 alpha=90.00 beta=110.46 gamma=90.00
Positions (direct):
Na (0.2442, 0.2500, 0.2152)
Na (0.7558, 0.7500, 0.7848)
V (0.1979, 0.7500, 0.6715)
V (0.8021, 0.2500, 0.3285)
Cu (0.4249, 0.2500, 0.9021)
Cu (0.5751, 0.7500, 0.0979)
Te (0.0574, 0.7500, 0.3744)
Te (0.2391, 0.7500, 0.9497)
Te (0.4150, 0.2500, 0.6453)
Te (0.5850, 0.7500, 0.3547)
Te (0.7609, 0.2500, 0.0503)
Te (0.9426, 0.2500, 0.6256)

***

# 4
CdNiAu2: optimized geometry, PBE.

Output
The density comes out at 13.9 g cm⁻³. The uncorrected energy comes out at -13.31 eV per cell. Its space group is I4/mmm, No. 139. For the calculated volume, the calculation gives 16.84 A^3/atom.

Unit cell a=4.9253 b=4.9253 c=4.9253 alpha=130.57 beta=130.57 gamma=72.49
Positions (direct):
Cd (0.0000, 0.0000, 0.0000)
Ni (0.5000, 0.5000, 0.0000)
Au (0.2500, 0.7500, 0.5000)
Au (0.7500, 0.2500, 0.5000)

***

# 5
Y2Zn2Pd: optimized geometry, PBE.

Output
The density comes out at 6.0 g cm⁻³. The uncorrected energy comes out at -21.69 eV per cell. Its space group is I4/mmm, No. 139. For the calculated volume, the calculation gives 23.03 A^3/atom.

Unit cell a=5.3945 b=5.3945 c=5.3945 alpha=117.26 beta=117.26 gamma=94.82
Positions (direct):
Y (0.2500, 0.7500, 0.5000)
Y (0.7500, 0.2500, 0.5000)
Zn (0.1551, 0.1551, 0.0000)
Zn (0.8449, 0.8449, 0.0000)
Pd (0.5000, 0.5000, 0.0000)

***

# 6
MgNb2PRh: optimized geometry, PBE.

Output
The density comes out at 5.3 g cm⁻³. The uncorrected energy comes out at -30.70 eV per cell. Its space group is P4/mmm, No. 123. For the calculated volume, the calculation gives 21.49 A^3/atom.

Unit cell a=4.9527 b=4.9527 c=4.3803 alpha=90.00 beta=90.00 gamma=90.00
Positions (direct):
Mg (0.0000, 0.0000, 0.0000)
Nb (0.0000, 0.5000, 0.5000)
Nb (0.5000, 0.0000, 0.5000)
P (0.5000, 0.5000, 0.0000)
Rh (0.5000, 0.5000, 0.5000)

***

# 7
La3Tb4Zn: optimized geometry, PBE.

Output
The density comes out at 7.3 g cm⁻³. The uncorrected energy comes out at -35.10 eV per cell. Its space group is P4/mmm, No. 123. For the calculated volume, the calculation gives 31.64 A^3/atom.

Unit cell a=3.6372 b=3.6372 c=19.1363 alpha=90.00 beta=90.00 gamma=90.00
Positions (direct):
La (0.0000, 0.0000, 0.0000)
La (0.0000, 0.0000, 0.2710)
La (0.0000, 0.0000, 0.7290)
Tb (0.5000, 0.5000, 0.1348)
Tb (0.5000, 0.5000, 0.4085)
Tb (0.5000, 0.5000, 0.5915)
Tb (0.5000, 0.5000, 0.8652)
Zn (0.0000, 0.0000, 0.5000)

***

# 8
Ca3Cd: optimized geometry, PBE.

Output
The density comes out at 2.6 g cm⁻³. The uncorrected energy comes out at -6.98 eV per cell. Its space group is Pmm2, No. 25. For the calculated volume, the calculation gives 37.80 A^3/atom.

Unit cell a=3.6957 b=3.8789 c=10.5465 alpha=90.00 beta=90.00 gamma=90.00
Positions (direct):
Ca (0.0000, 0.0000, 0.0000)
Ca (0.0000, 0.5000, 0.3143)
Ca (0.5000, 0.5000, 0.7258)
Cd (0.5000, 0.0000, 0.4838)

***

# 9
PdRuPb2Br: optimized geometry, PBE.

Output
The uncorrected formation energy comes out at 853 meV per atom. The density comes out at 8.1 g cm⁻³. Its space group is P4/mmm, No. 123. For the calculated volume, the calculation gives 28.91 A^3/atom.

Unit cell a=5.3795 b=5.3795 c=4.9954 alpha=90.00 beta=90.00 gamma=90.00
Positions (direct):
Pd (0.0000, 0.0000, 0.0000)
Ru (0.5000, 0.5000, 0.5000)
Pb (0.0000, 0.5000, 0.0000)
Pb (0.5000, 0.0000, 0.0000)
Br (0.0000, 0.0000, 0.5000)

***

# 10
Pa6CoS5: optimized geometry, PBE.

Output
The uncorrected formation energy comes out at -1349 meV per atom. The density comes out at 10.5 g cm⁻³. Its space group is C2/m, No. 12. For the calculated volume, the calculation gives 21.10 A^3/atom.

Unit cell a=6.7630 b=6.7630 c=6.7730 alpha=99.59 beta=99.59 gamma=119.93
Positions (direct):
Pa (0.0795, 0.4021, 0.7407)
Pa (0.2401, 0.2401, 0.2562)
Pa (0.4021, 0.0795, 0.7407)
Pa (0.5979, 0.9205, 0.2593)
Pa (0.7599, 0.7599, 0.7438)
Pa (0.9205, 0.5979, 0.2593)
Co (0.0000, 0.0000, 0.5000)
S (0.1710, 0.8290, 0.0000)
S (0.3343, 0.6657, 0.5000)
S (0.5000, 0.5000, 0.0000)
S (0.6657, 0.3343, 0.5000)
S (0.8290, 0.1710, 0.0000)

***

# 11
ErNCl3: optimized geometry, PBE.

Output
The uncorrected formation energy comes out at -734 meV per atom. The density comes out at 2.7 g cm⁻³. Its space group is P-1, No. 2. For the calculated volume, the calculation gives 36.03 A^3/atom.

Unit cell a=4.7227 b=7.9113 c=10.0219 alpha=93.22 beta=97.10 gamma=103.23
Positions (direct):
Er (0.0179, 0.2559, 0.0547)
Er (0.9821, 0.7441, 0.9453)
N (0.3111, 0.7458, 0.4774)
N (0.6889, 0.2542, 0.5226)
Cl (0.1114, 0.0590, 0.8536)
Cl (0.2055, 0.5924, 0.1448)
Cl (0.4449, 0.7295, 0.8254)
Cl (0.5551, 0.2705, 0.1746)
Cl (0.7945, 0.4076, 0.8552)
Cl (0.8886, 0.9410, 0.1464)

***

# 12
TeC3Se: optimized geometry, PBE.

Output
The uncorrected formation energy comes out at 2777 meV per atom. The density comes out at 6.3 g cm⁻³. Its space group is Pm-3m, No. 221. For the calculated volume, the calculation gives 12.73 A^3/atom.

Unit cell a=3.9928 b=3.9928 c=3.9928 alpha=90.00 beta=90.00 gamma=90.00
Positions (direct):
Te (0.0000, 0.0000, 0.0000)
C (0.0000, 0.5000, 0.5000)
C (0.5000, 0.0000, 0.5000)
C (0.5000, 0.5000, 0.0000)
Se (0.5000, 0.5000, 0.5000)

***

# 13
BaZn2Ni: optimized geometry, PBE.

Output
The density comes out at 5.9 g cm⁻³. The uncorrected energy comes out at -9.02 eV per cell. Its space group is Pmmm, No. 47. For the calculated volume, the calculation gives 23.16 A^3/atom.

Unit cell a=4.1927 b=4.2060 c=5.2524 alpha=90.00 beta=90.00 gamma=90.00
Positions (direct):
Ba (0.0000, 0.0000, 0.0000)
Zn (0.0000, 0.5000, 0.5000)
Zn (0.5000, 0.0000, 0.5000)
Ni (0.5000, 0.5000, 0.0000)

***

# 14
Tb2HoRh9: optimized geometry, PBE.

Output
The density comes out at 11.1 g cm⁻³. The uncorrected energy comes out at -86.77 eV per cell. Its space group is R-3m, No. 166. For the calculated volume, the calculation gives 17.52 A^3/atom.

Unit cell a=9.3037 b=9.3037 c=9.3037 alpha=32.80 beta=32.80 gamma=32.80
Positions (direct):
Tb (0.1387, 0.1387, 0.1387)
Tb (0.8613, 0.8613, 0.8613)
Ho (0.0000, 0.0000, 0.0000)
Rh (0.0822, 0.5825, 0.5825)
Rh (0.3330, 0.3330, 0.3330)
Rh (0.4175, 0.4175, 0.9178)
Rh (0.4175, 0.9178, 0.4175)
Rh (0.5000, 0.5000, 0.5000)
Rh (0.5825, 0.0822, 0.5825)
Rh (0.5825, 0.5825, 0.0822)
Rh (0.6670, 0.6670, 0.6670)
Rh (0.9178, 0.4175, 0.4175)

***

# 15
YSiOs2: optimized geometry, PBE.

Output
The uncorrected formation energy comes out at 18 meV per atom. The density comes out at 11.9 g cm⁻³. Its space group is Pmm2, No. 25. For the calculated volume, the calculation gives 17.30 A^3/atom.

Unit cell a=2.8951 b=3.7839 c=6.3167 alpha=90.00 beta=90.00 gamma=90.00
Positions (direct):
Y (0.0000, 0.0000, 0.0000)
Si (0.5000, 0.5000, 0.6989)
Os (0.0000, 0.0000, 0.5066)
Os (0.5000, 0.5000, 0.3188)

***

# 16
Ca2ReBr: optimized geometry, PBE.

Output
The uncorrected formation energy comes out at 314 meV per atom. The density comes out at 5.3 g cm⁻³. Its space group is P4/mmm, No. 123. For the calculated volume, the calculation gives 27.09 A^3/atom.

Unit cell a=4.2512 b=4.2512 c=5.9952 alpha=90.00 beta=90.00 gamma=90.00
Positions (direct):
Ca (0.0000, 0.0000, 0.0000)
Ca (0.5000, 0.5000, 0.5000)
Re (0.0000, 0.0000, 0.5000)
Br (0.5000, 0.5000, 0.0000)

***

# 17
CaZr2BeSe: optimized geometry, PBE.

Output
The uncorrected formation energy comes out at 132 meV per atom. The density comes out at 4.4 g cm⁻³. Its space group is P4/mmm, No. 123. For the calculated volume, the calculation gives 23.57 A^3/atom.

Unit cell a=4.6983 b=4.6983 c=5.3379 alpha=90.00 beta=90.00 gamma=90.00
Positions (direct):
Ca (0.0000, 0.0000, 0.0000)
Zr (0.0000, 0.5000, 0.5000)
Zr (0.5000, 0.0000, 0.5000)
Be (0.0000, 0.0000, 0.5000)
Se (0.5000, 0.5000, 0.0000)

***

# 18
BaBO2F: optimized geometry, PBE.

Output
The uncorrected formation energy comes out at 132 meV per atom. The density comes out at 3.2 g cm⁻³. Its space group is P4/mmm, No. 123. For the calculated volume, the calculation gives 20.78 A^3/atom.

Unit cell a=4.5412 b=4.5412 c=5.0385 alpha=90.00 beta=90.00 gamma=90.00
Positions (direct):
Ba (0.0000, 0.0000, 0.0000)
B (0.5000, 0.5000, 0.5000)
O (0.0000, 0.5000, 0.0000)
O (0.5000, 0.0000, 0.0000)
F (0.0000, 0.0000, 0.5000)

***

# 19
Li5CoPd6: optimized geometry, PBE.

Output
The density comes out at 7.6 g cm⁻³. The uncorrected energy comes out at -51.78 eV per cell. Its space group is C2/m, No. 12. For the calculated volume, the calculation gives 13.36 A^3/atom.

Unit cell a=7.3100 b=7.3100 c=4.2461 alpha=106.40 beta=106.40 gamma=48.01
Positions (direct):
Li (0.0000, 0.0000, 0.0000)
Li (0.1680, 0.1680, 0.6661)
Li (0.3362, 0.3362, 0.3380)
Li (0.6638, 0.6638, 0.6620)
Li (0.8320, 0.8320, 0.3339)
Co (0.5000, 0.5000, 0.0000)
Pd (0.0843, 0.5845, 0.8362)
Pd (0.2500, 0.7500, 0.5000)
Pd (0.4155, 0.9157, 0.1638)
Pd (0.5845, 0.0843, 0.8362)
Pd (0.7500, 0.2500, 0.5000)
Pd (0.9157, 0.4155, 0.1638)

***

# 20
CuSb4Mo: optimized geometry, PBE.

Output
The uncorrected formation energy comes out at 1049 meV per atom. The density comes out at 6.7 g cm⁻³. Its space group is F-43m, No. 216. For the calculated volume, the calculation gives 26.74 A^3/atom.

Unit cell a=6.0990 b=6.0990 c=6.0990 alpha=60.00 beta=60.00 gamma=60.00
Positions (direct):
Cu (0.0000, 0.0000, 0.0000)
Sb (0.3742, 0.3742, 0.3742)
Sb (0.3742, 0.3742, 0.8774)
Sb (0.3742, 0.8774, 0.3742)
Sb (0.8774, 0.3742, 0.3742)
Mo (0.7500, 0.7500, 0.7500)

***

# 21
TiGa2Pt: optimized geometry, PBE.

Output
The density comes out at 10.2 g cm⁻³. The uncorrected energy comes out at -22.46 eV per cell. Its space group is P4/mmm, No. 123. For the calculated volume, the calculation gives 15.50 A^3/atom.

Unit cell a=4.0005 b=4.0005 c=3.8729 alpha=90.00 beta=90.00 gamma=90.00
Positions (direct):
Ti (0.0000, 0.0000, 0.0000)
Ga (0.0000, 0.5000, 0.5000)
Ga (0.5000, 0.0000, 0.5000)
Pt (0.5000, 0.5000, 0.0000)

***

# 22
DyMn2Ni9: optimized geometry, PBE.

Output
The density comes out at 8.7 g cm⁻³. The uncorrected energy comes out at -154.35 eV per cell. Its space group is P4/mbm, No. 127. For the calculated volume, the calculation gives 12.79 A^3/atom.

Unit cell a=8.0655 b=8.0655 c=4.7192 alpha=90.00 beta=90.00 gamma=90.00
Positions (direct):
Dy (0.0000, 0.0000, 0.0000)
Dy (0.5000, 0.5000, 0.0000)
Mn (0.1187, 0.3813, 0.0000)
Mn (0.3813, 0.8813, 0.0000)
Mn (0.6187, 0.1187, 0.0000)
Mn (0.8813, 0.6187, 0.0000)
Ni (0.0000, 0.5000, 0.5000)
Ni (0.0632, 0.2105, 0.5000)
Ni (0.1785, 0.6785, 0.2425)
Ni (0.1785, 0.6785, 0.7575)
Ni (0.2105, 0.9368, 0.5000)
Ni (0.2895, 0.4368, 0.5000)
Ni (0.3215, 0.1785, 0.2425)
Ni (0.3215, 0.1785, 0.7575)
Ni (0.4368, 0.7105, 0.5000)
Ni (0.5000, 0.0000, 0.5000)
Ni (0.5632, 0.2895, 0.5000)
Ni (0.6785, 0.8215, 0.2425)
Ni (0.6785, 0.8215, 0.7575)
Ni (0.7105, 0.5632, 0.5000)
Ni (0.7895, 0.0632, 0.5000)
Ni (0.8215, 0.3215, 0.2425)
Ni (0.8215, 0.3215, 0.7575)
Ni (0.9368, 0.7895, 0.5000)

***

# 23
CoSnAu: optimized geometry, PBE.

Output
The density comes out at 11.9 g cm⁻³. The uncorrected energy comes out at -13.72 eV per cell. Its space group is P3m1, No. 156. For the calculated volume, the calculation gives 17.37 A^3/atom.

Unit cell a=4.2959 b=4.2959 c=3.2605 alpha=90.00 beta=90.00 gamma=120.00
Positions (direct):
Co (0.0000, 0.0000, 0.0000)
Sn (0.3333, 0.6667, 0.1568)
Au (0.6667, 0.3333, 0.5751)

***

# 24
La3Pr12Th: optimized geometry, PBE.

Output
The density comes out at 6.7 g cm⁻³. The uncorrected energy comes out at -79.22 eV per cell. Its space group is P4/mmm, No. 123. For the calculated volume, the calculation gives 36.10 A^3/atom.

Unit cell a=5.2436 b=5.2436 c=21.0066 alpha=90.00 beta=90.00 gamma=90.00
Positions (direct):
La (0.0000, 0.0000, 0.0000)
La (0.0000, 0.0000, 0.2509)
La (0.0000, 0.0000, 0.7491)
Pr (0.0000, 0.5000, 0.1261)
Pr (0.0000, 0.5000, 0.3794)
Pr (0.0000, 0.5000, 0.6206)
Pr (0.0000, 0.5000, 0.8739)
Pr (0.5000, 0.0000, 0.1261)
Pr (0.5000, 0.0000, 0.3794)
Pr (0.5000, 0.0000, 0.6206)
Pr (0.5000, 0.0000, 0.8739)
Pr (0.5000, 0.5000, 0.0000)
Pr (0.5000, 0.5000, 0.2510)
Pr (0.5000, 0.5000, 0.5000)
Pr (0.5000, 0.5000, 0.7490)
Th (0.0000, 0.0000, 0.5000)

***

# 25
Tc2HgRu: optimized geometry, PBE.

Output
The density comes out at 13.2 g cm⁻³. The uncorrected energy comes out at -28.18 eV per cell. Its space group is I-4m2, No. 119. For the calculated volume, the calculation gives 15.65 A^3/atom.

Unit cell a=4.8945 b=4.8945 c=4.8945 alpha=132.45 beta=132.45 gamma=69.51
Positions (direct):
Tc (0.0000, 0.0000, 0.0000)
Tc (0.7500, 0.2500, 0.5000)
Hg (0.2500, 0.7500, 0.5000)
Ru (0.5000, 0.5000, 0.0000)